No. 1
VASP calculation (GGA-PBE) on a geometry-optimized SrGdZnS3 structure.

space group: No. 63
density: 4.89 g cm⁻³
VASP energy: -4.830 eV/atom

Structure (CIF):
```
data_SrGdZnS3
_chemical_formula_sum 'Sr2 Gd2 Zn2 S6'
_cell_length_a 6.9527
_cell_length_b 6.9527
_cell_length_c 10.4709
_cell_angle_alpha 90.00
_cell_angle_beta 90.00
_cell_angle_gamma 146.97
_symmetry_space_group_name_H-M 'P 1'
_symmetry_Int_Tables_number 1
loop_
_symmetry_equiv_pos_as_xyz
'x,y,z'
loop_
_atom_site_label
_atom_site_type_symbol
_atom_site_fract_x
_atom_site_fract_y
_atom_site_fract_z
Gd1 Gd 0.5000 0.5000 0.0000
Gd2 Gd 0.5000 0.5000 0.5000
S1 S 0.8585 0.1415 0.0766
S2 S 0.5739 0.4261 0.2500
S3 S 0.8585 0.1415 0.4234
S4 S 0.1415 0.8585 0.5766
S5 S 0.4261 0.5739 0.7500
S6 S 0.1415 0.8585 0.9234
Sr1 Sr 0.2511 0.7489 0.2500
Sr2 Sr 0.7489 0.2511 0.7500
Zn1 Zn 0.9720 0.0280 0.2500
Zn2 Zn 0.0280 0.9720 0.7500
```



No. 2
VASP calculation (GGA-PBE) on a geometry-optimized Tb2GdS3 structure.

space group: No. 164
density: 7.37 g cm⁻³
VASP energy: -6.398 eV/atom

Structure (CIF):
```
data_Tb2GdS3
_chemical_formula_sum 'Tb2 Gd1 S3'
_cell_length_a 3.9267
_cell_length_b 3.9267
_cell_length_c 9.6394
_cell_angle_alpha 90.00
_cell_angle_beta 90.00
_cell_angle_gamma 120.00
_symmetry_space_group_name_H-M 'P 1'
_symmetry_Int_Tables_number 1
loop_
_symmetry_equiv_pos_as_xyz
'x,y,z'
loop_
_atom_site_label
_atom_site_type_symbol
_atom_site_fract_x
_atom_site_fract_y
_atom_site_fract_z
Gd1 Gd 0.0000 0.0000 0.5000
S1 S 0.0000 0.0000 0.0000
S2 S 0.6667 0.3333 0.3316
S3 S 0.3333 0.6667 0.6684
Tb1 Tb 0.3333 0.6667 0.1667
Tb2 Tb 0.6667 0.3333 0.8333
```



No. 3
VASP calculation (GGA-PBE) on a geometry-optimized TbGd2S3 structure.

space group: No. 164
density: 7.30 g cm⁻³
VASP energy: -6.406 eV/atom

Structure (CIF):
```
data_TbGd2S3
_chemical_formula_sum 'Tb1 Gd2 S3'
_cell_length_a 3.9346
_cell_length_b 3.9346
_cell_length_c 9.6612
_cell_angle_alpha 90.00
_cell_angle_beta 90.00
_cell_angle_gamma 120.00
_symmetry_space_group_name_H-M 'P 1'
_symmetry_Int_Tables_number 1
loop_
_symmetry_equiv_pos_as_xyz
'x,y,z'
loop_
_atom_site_label
_atom_site_type_symbol
_atom_site_fract_x
_atom_site_fract_y
_atom_site_fract_z
Gd1 Gd 0.6667 0.3333 0.3334
Gd2 Gd 0.3333 0.6667 0.6666
S1 S 0.3333 0.6667 0.1649
S2 S 0.0000 0.0000 0.5000
S3 S 0.6667 0.3333 0.8351
Tb1 Tb 0.0000 0.0000 0.0000
```



No. 4
VASP calculation (GGA-PBE) on a geometry-optimized Gd4Te3S4 structure.

space group: No. 12
density: 6.01 g cm⁻³
VASP energy: -5.766 eV/atom

Structure (CIF):
```
data_Gd4Te3S4
_chemical_formula_sum 'Gd4 Te3 S4'
_cell_length_a 7.7822
_cell_length_b 7.7822
_cell_length_c 6.7912
_cell_angle_alpha 95.68
_cell_angle_beta 95.68
_cell_angle_gamma 128.16
_symmetry_space_group_name_H-M 'P 1'
_symmetry_Int_Tables_number 1
loop_
_symmetry_equiv_pos_as_xyz
'x,y,z'
loop_
_atom_site_label
_atom_site_type_symbol
_atom_site_fract_x
_atom_site_fract_y
_atom_site_fract_z
Gd1 Gd 0.4210 0.0989 0.2559
Gd2 Gd 0.0989 0.4210 0.2559
Gd3 Gd 0.9011 0.5790 0.7441
Gd4 Gd 0.5790 0.9011 0.7441
S1 S 0.7180 0.2820 0.0000
S2 S 0.2820 0.7180 0.0000
S3 S 0.7874 0.2126 0.5000
S4 S 0.2126 0.7874 0.5000
Te1 Te 0.0000 0.0000 0.0000
Te2 Te 0.6322 0.6322 0.3668
Te3 Te 0.3678 0.3678 0.6332
```



Question: Look up the density of the third one.
Answer: 7.30 g cm⁻³